No. 1
First-principles (PBE) data for crystalline Sc2Al2Sb at its relaxed geometry, as listed in Alexandria via LeMat-Bulk.

Output
Raw total energy: -5.256 eV per atom
Distance to the lowest polymorph of the same formula: 0.000 eV per atom
Uncorrected formation energy: -401 meV per atom

Cell and atoms, written as POSCAR:
```
Sc2Al2Sb
1.0
7.157 0.000 0.000
0.000 7.157 0.000
0.000 0.000 4.119
Sc Al Sb
4 4 2
Direct
0.170 0.330 0.000
0.330 0.830 0.000
0.670 0.170 0.000
0.830 0.670 0.000
0.124 0.624 0.500
0.376 0.124 0.500
0.624 0.876 0.500
0.876 0.376 0.500
0.000 0.000 0.500
0.500 0.500 0.500
```

No. 2
First-principles (PBE) data for crystalline ScAlSb4 at its relaxed geometry, as listed in Alexandria via LeMat-Bulk.

Output
Raw total energy: -4.144 eV per atom
Uncorrected formation energy: 283 meV per atom

Cell and atoms, written as POSCAR:
```
ScAlSb4
1.0
0.000 4.365 4.365
4.365 0.000 4.365
4.365 4.365 0.000
Sc Al Sb
1 1 4
Direct
0.000 0.000 0.000
0.750 0.750 0.750
0.375 0.375 0.375
0.375 0.375 0.875
0.375 0.875 0.375
0.875 0.375 0.375
```

No. 3
First-principles (PBE) data for crystalline Sc3AlSb at its relaxed geometry, as listed in Alexandria via LeMat-Bulk.

Output
Raw total energy: -5.410 eV per atom
Distance to the lowest polymorph of the same formula: 0.000 eV per atom
Uncorrected formation energy: -38 meV per atom

Cell and atoms, written as POSCAR:
```
Sc3AlSb
1.0
5.064 0.000 0.000
0.000 5.064 0.000
0.000 0.000 5.064
Sc Al Sb
3 1 1
Direct
0.000 0.000 0.500
0.000 0.500 0.000
0.500 0.000 0.000
0.000 0.000 0.000
0.500 0.500 0.500
```

No. 4
First-principles (PBE) data for crystalline Sc2Al2Sb at its relaxed geometry, as listed in Alexandria via LeMat-Bulk.

Output
Raw total energy: -5.096 eV per atom
Distance to the lowest polymorph of the same formula: 0.160 eV per atom
Uncorrected formation energy: -242 meV per atom

Cell and atoms, written as POSCAR:
```
Sc2Al2Sb
1.0
7.865 0.000 0.000
0.000 7.865 0.000
0.000 0.000 3.601
Sc Al Sb
4 4 2
Direct
0.178 0.322 0.000
0.322 0.822 0.000
0.678 0.178 0.000
0.822 0.678 0.000
0.117 0.617 0.500
0.383 0.117 0.500
0.617 0.883 0.500
0.883 0.383 0.500
0.000 0.000 0.000
0.500 0.500 0.000
```